3
Lattice="-0.617 1.507 -3.524 1.903 -2.977 -1.607 -4.940 -1.827 2.222" Properties=species:S:1:pos:R:3 comment="GaSnSb PBE relaxed" final_energy_ev_per_atom=-3.615 raw_formation_energy_ev_per_atom=0.103 relative_energy_mev_per_atom=21 pbc="T T T"
Sb -0.858 -1.630 -2.685
Sn -3.651 -3.295 -2.908
Ga -2.798 -1.668 -0.223